# CrSiPb4

Crystalline CrSiPb4 at its relaxed geometry (GGA-PBE, Alexandria via LeMat-Bulk).

CIF file:
```
data_CrSiPb4
_symmetry_space_group_name_H-M 'F -4 3 m'
_symmetry_Int_Tables_number 216
_symmetry_space_group_name_Hall 'F -4 2 3'
_cell_length_a 8.984
_cell_length_b 8.984
_cell_length_c 8.984
_cell_angle_alpha 90.00
_cell_angle_beta 90.00
_cell_angle_gamma 90.00
loop_
_atom_site_label
_atom_site_type_symbol
_atom_site_fract_x
_atom_site_fract_y
_atom_site_fract_z
Cr1 Cr 0.000 0.000 0.000
Si1 Si 0.250 0.250 0.250
Pb1 Pb 0.125 0.125 0.625
```

=====

# CrSi4Pb

Crystalline CrSi4Pb at its relaxed geometry (GGA-PBE, Alexandria via LeMat-Bulk).

CIF file:
```
data_CrSi4Pb
_symmetry_space_group_name_H-M 'F -4 3 m'
_symmetry_Int_Tables_number 216
_symmetry_space_group_name_Hall 'F -4 2 3'
_cell_length_a 7.507
_cell_length_b 7.507
_cell_length_c 7.507
_cell_angle_alpha 90.00
_cell_angle_beta 90.00
_cell_angle_gamma 90.00
loop_
_atom_site_label
_atom_site_type_symbol
_atom_site_fract_x
_atom_site_fract_y
_atom_site_fract_z
Cr1 Cr 0.000 0.000 0.000
Si1 Si 0.126 0.126 0.374
Pb1 Pb 0.250 0.250 0.750
```

=====

# CrSi2Pb

Crystalline CrSi2Pb at its relaxed geometry (GGA-PBE, Alexandria via LeMat-Bulk).

CIF file:
```
data_CrSi2Pb
_symmetry_space_group_name_H-M 'P 4 m m'
_symmetry_Int_Tables_number 99
_symmetry_space_group_name_Hall 'P 4 -2'
_cell_length_a 3.192
_cell_length_b 3.192
_cell_length_c 7.152
_cell_angle_alpha 90.00
_cell_angle_beta 90.00
_cell_angle_gamma 90.00
loop_
_atom_site_label
_atom_site_type_symbol
_atom_site_fract_x
_atom_site_fract_y
_atom_site_fract_z
Cr1 Cr 0.000 0.000 0.000
Si1 Si 0.000 0.000 0.666
Si2 Si 0.500 0.500 0.864
Pb1 Pb 0.500 0.500 0.300
```

=====

# Cr2SiPb

Crystalline Cr2SiPb at its relaxed geometry (GGA-PBE, Alexandria via LeMat-Bulk).

CIF file:
```
data_Cr2SiPb
_symmetry_space_group_name_H-M 'P 1 2/m 1'
_symmetry_Int_Tables_number 10
_symmetry_space_group_name_Hall '-P 2y'
_cell_length_a 3.006
_cell_length_b 2.990
_cell_length_c 7.542
_cell_angle_alpha 90.00
_cell_angle_beta 97.70
_cell_angle_gamma 90.00
loop_
_atom_site_label
_atom_site_type_symbol
_atom_site_fract_x
_atom_site_fract_y
_atom_site_fract_z
Cr1 Cr 0.070 0.000 0.192
Si1 Si 0.500 0.500 0.000
Pb1 Pb 0.500 0.500 0.500
```

Output
energy above the most stable polymorph in this dataset = 0.062 eV per atom

=====

# Cr2SiPb

Crystalline Cr2SiPb at its relaxed geometry (GGA-PBE, Alexandria via LeMat-Bulk).

CIF file:
```
data_Cr2SiPb
_symmetry_space_group_name_H-M 'C 1 2/m 1'
_symmetry_Int_Tables_number 12
_symmetry_space_group_name_Hall '-C 2y'
_cell_length_a 7.021
_cell_length_b 4.072
_cell_length_c 5.488
_cell_angle_alpha 90.00
_cell_angle_beta 115.57
_cell_angle_gamma 90.00
loop_
_atom_site_label
_atom_site_type_symbol
_atom_site_fract_x
_atom_site_fract_y
_atom_site_fract_z
Cr1 Cr 0.224 0.000 0.171
Si1 Si 0.000 0.500 0.000
Pb1 Pb 0.000 0.000 0.500
```

Output
energy above the most stable polymorph in this dataset = 0.133 eV per atom

=====

# CrSi2Pb

Crystalline CrSi2Pb at its relaxed geometry (GGA-PBE, Alexandria via LeMat-Bulk).

CIF file:
```
data_CrSi2Pb
_symmetry_space_group_name_H-M 'I -4 2 d'
_symmetry_Int_Tables_number 122
_symmetry_space_group_name_Hall 'I -4 2bw'
_cell_length_a 4.539
_cell_length_b 4.539
_cell_length_c 16.636
_cell_angle_alpha 90.00
_cell_angle_beta 90.00
_cell_angle_gamma 90.00
loop_
_atom_site_label
_atom_site_type_symbol
_atom_site_fract_x
_atom_site_fract_y
_atom_site_fract_z
Cr1 Cr 0.000 0.000 0.000
Si1 Si 0.107 0.250 0.125
Pb1 Pb 0.000 0.000 0.500
```

=====

# Cr2SiPb

Crystalline Cr2SiPb at its relaxed geometry (GGA-PBE, Alexandria via LeMat-Bulk).

CIF file:
```
data_Cr2SiPb
_symmetry_space_group_name_H-M 'P 1 m 1'
_symmetry_Int_Tables_number 6
_symmetry_space_group_name_Hall 'P -2y'
_cell_length_a 3.071
_cell_length_b 3.709
_cell_length_c 6.478
_cell_angle_alpha 90.00
_cell_angle_beta 103.57
_cell_angle_gamma 90.00
loop_
_atom_site_label
_atom_site_type_symbol
_atom_site_fract_x
_atom_site_fract_y
_atom_site_fract_z
Cr1 Cr 0.000 0.000 0.000
Cr2 Cr 0.121 0.500 0.243
Si1 Si 0.462 0.500 0.923
Pb1 Pb 0.764 0.000 0.530
```

Output
energy above the most stable polymorph in this dataset = 0.095 eV per atom

=====

# CrSi2Pb

Crystalline CrSi2Pb at its relaxed geometry (GGA-PBE, Alexandria via LeMat-Bulk).

CIF file:
```
data_CrSi2Pb
_symmetry_space_group_name_H-M 'P 4/m m m'
_symmetry_Int_Tables_number 123
_symmetry_space_group_name_Hall '-P 4 2'
_cell_length_a 4.143
_cell_length_b 4.143
_cell_length_c 4.432
_cell_angle_alpha 90.00
_cell_angle_beta 90.00
_cell_angle_gamma 90.00
loop_
_atom_site_label
_atom_site_type_symbol
_atom_site_fract_x
_atom_site_fract_y
_atom_site_fract_z
Cr1 Cr 0.000 0.000 0.000
Si1 Si 0.000 0.500 0.500
Pb1 Pb 0.500 0.500 0.000
```

=====

Listing energy relative to the elements, uncorrected for the structures above in their given order: 470 345 140 153 181 187 166 253 kJ/mol of formula units.